Entry from Alexandria: crystalline HoMgIn at its relaxed geometry (PBE).

```
HoMgIn
1.0
-1.048 -2.459 -2.333
4.400 -2.246 0.390
-3.713 -1.282 3.021
Ho Mg In
1 1 1
Direct
0.666 0.333 0.667 Ho
0.166 0.667 0.333 Mg
0.167 0.000 0.000 In
```

Results
Electronic total energy   -3.291 eV per atom
Density of states at the Fermi level   0.97 states/eV per atom